Here is an optimized crystal structure of Li3Fe3Sn2O10 from Alexandria. Energies are from GGA+U.

Cell: 5.221 5.343 8.150 Å, 74.31 74.73 76.74°
Space group P-1 (No. 2)
Inequivalent atoms, fractional coordinates:
Li (0.000, 0.000, 0.000) x1
Li (0.466, 0.699, 0.115) x2
Fe (0.035, 0.190, 0.602) x2
Fe (0.500, 0.500, 0.500) x1
Sn (0.010, 0.379, 0.197) x2
O (0.177, 0.002, 0.180) x2
O (0.211, 0.821, 0.559) x2
O (0.228, 0.451, 0.368) x2
O (0.228, 0.600, 0.981) x2
O (0.271, 0.302, 0.718) x2

* crystal system: triclinic
* total magnetization: 14.99 μB/f.u.
* calculated volume: 11.56 Å³ per atom
* total energy: -6.092 eV per atom
* DOS at the Fermi energy: 0.00 states/eV/atom